1.
Below is crystalline SiOsW at its relaxed geometry, with properties calculated at the GGA-PBEsol level.

Properties
Mass density in Mg/m³: 16.3
Crystal system: tetragonal

Unit cell a=2.8778 b=2.8778 c=5.3499 alpha=105.60 beta=105.60 gamma=90.00
Atoms (fractional coordinates):
W 0.3280 0.3280 0.6559
Si 0.6578 0.6578 0.3155
Os 0.0143 0.0143 0.0286

2.
Below is crystalline SiOsW at its relaxed geometry, with properties calculated at the GGA-PBEsol level.

Properties
Mass density in Mg/m³: 15.9
Crystal system: hexagonal

Unit cell a=2.8033 b=4.1624 c=4.1624 alpha=120.00 beta=90.00 gamma=90.00
Atoms (fractional coordinates):
Os 0.0000 0.0000 0.0000
W 0.5000 0.6667 0.3333
Si 0.0000 0.3333 0.6667

3.
Below is crystalline SiOs2W at its relaxed geometry, with properties calculated at the GGA-PBEsol level.

Properties
Mass density in Mg/m³: 18.0
Crystal system: tetragonal

Unit cell a=2.8605 b=2.8605 c=6.6832 alpha=90.00 beta=90.00 gamma=90.00
Atoms (fractional coordinates):
Os 0.0000 0.0000 0.2191
Os 0.0000 0.0000 0.7809
W 0.5000 0.5000 0.5000
Si 0.5000 0.5000 0.0000

4.
Below is crystalline Si2OsW at its relaxed geometry, with properties calculated at the GGA-PBEsol level.

Properties
Mass density in Mg/m³: 12.8
Crystal system: monoclinic

Unit cell a=2.8082 b=4.8467 c=4.8467 alpha=108.16 beta=105.27 gamma=105.27
Atoms (fractional coordinates):
W 0.5000 0.5000 0.5000
Si 0.0000 0.0000 0.5000
Si 0.0000 0.5000 0.0000
Os 0.5000 0.0000 0.0000

5.
Below is crystalline Y3Si12Os4 at its relaxed geometry, with properties calculated at the GGA-PBEsol level.

Properties
Mass density in Mg/m³: 7.5
Crystal system: orthorhombic

Unit cell a=8.0935 b=8.0984 c=10.0604 alpha=90.00 beta=113.72 gamma=90.00
Atoms (fractional coordinates):
Os 0.8731 0.1270 0.0000
Os 0.3731 0.3730 0.0000
Os 0.6269 0.6270 0.0000
Os 0.1269 0.8730 0.0000
Os 0.8309 0.5000 0.6617
Os 0.3309 0.0000 0.6617
Os 0.6691 0.0000 0.3383
Os 0.1691 0.5000 0.3383
Y 0.9980 0.2500 0.5000
Y 0.5020 0.7500 0.5000
Y 0.0020 0.7500 0.5000
Y 0.4980 0.2500 0.5000
Y 0.0000 0.5000 0.0000
Y 0.5000 0.0000 0.0000
Si 0.7951 0.0000 0.5902
Si 0.2951 0.5000 0.5902
Si 0.2049 0.0000 0.4098
Si 0.3790 0.2715 0.7657
Si 0.1112 0.9948 0.7656
Si 0.6544 0.0052 0.7656
Si 0.1544 0.4948 0.7656
Si 0.6210 0.7285 0.2343
Si 0.1210 0.7715 0.2343
Si 0.6112 0.5052 0.7656
Si 0.8456 0.5052 0.2344
Si 0.8867 0.7715 0.7657
Si 0.3321 0.6676 0.0000
Si 0.1679 0.1676 0.0000
Si 0.8888 0.0052 0.2344
Si 0.3456 0.9948 0.2344
Si 0.6679 0.3324 0.0000
Si 0.3867 0.7285 0.7657
Si 0.6133 0.2715 0.2343
Si 0.7049 0.5000 0.4098
Si 0.1133 0.2285 0.2343
Si 0.8321 0.8324 0.0000
Si 0.8790 0.2285 0.7657
Si 0.3888 0.4948 0.2344

6.
Below is crystalline Y2SiOs at its relaxed geometry, with properties calculated at the GGA-PBEsol level.

Properties
Mass density in Mg/m³: 7.7
Crystal system: orthorhombic

Unit cell a=3.9013 b=4.1576 c=5.6635 alpha=111.53 beta=90.00 gamma=90.00
Atoms (fractional coordinates):
Si 0.5000 0.6861 0.3722
Os 0.0000 0.8215 0.6430
Y 0.0000 0.1056 0.2112
Y 0.5000 0.3868 0.7735

7.
Below is crystalline Y2SiOs at its relaxed geometry, with properties calculated at the GGA-PBEsol level.

Properties
Mass density in Mg/m³: 7.9
Crystal system: orthorhombic

Unit cell a=3.2961 b=4.6442 c=6.1226 alpha=112.29 beta=105.62 gamma=90.00
Atoms (fractional coordinates):
Y 0.0002 0.0002 0.0004
Y 0.2164 0.7164 0.4327
Os 0.4741 0.4741 0.9482
Si 0.8093 0.3093 0.6187

8.
Below is crystalline ZnSi2Os at its relaxed geometry, with properties calculated at the GGA-PBEsol level.

Properties
Mass density in Mg/m³: 9.6
Crystal system: cubic

Unit cell a=4.2379 b=4.2379 c=4.2379 alpha=60.00 beta=60.00 gamma=60.00
Atoms (fractional coordinates):
Si 0.2500 0.2500 0.2500
Si 0.0000 0.0000 0.0000
Zn 0.7500 0.7500 0.7500
Os 0.5000 0.5000 0.5000

9.
Below is crystalline ZnSiOs2 at its relaxed geometry, with properties calculated at the GGA-PBEsol level.

Properties
Mass density in Mg/m³: 14.9
Crystal system: tetragonal

Unit cell a=3.0231 b=3.0231 c=5.7853 alpha=90.00 beta=90.00 gamma=90.00
Atoms (fractional coordinates):
Zn 0.5000 0.5000 0.7421
Os 0.0000 0.0000 0.9729
Os 0.5000 0.5000 0.2824
Si 0.0000 0.0000 0.5026

10.
Below is crystalline ZnSiOs2 at its relaxed geometry, with properties calculated at the GGA-PBEsol level.

Properties
Mass density in Mg/m³: 14.5
Crystal system: trigonal

Unit cell a=2.7813 b=2.7813 c=8.2524 alpha=80.30 beta=80.30 gamma=60.00
Atoms (fractional coordinates):
Zn 0.0000 0.0000 0.0000
Si 0.5000 0.5000 0.5000
Os 0.2435 0.2435 0.2695
Os 0.7565 0.7565 0.7305

11.
Below is crystalline ZnSi2Os at its relaxed geometry, with properties calculated at the GGA-PBEsol level.

Properties
Mass density in Mg/m³: 9.7
Crystal system: orthorhombic

Unit cell a=2.9355 b=3.4931 c=5.2083 alpha=90.00 beta=90.00 gamma=90.00
Atoms (fractional coordinates):
Zn 0.5000 0.5000 0.0000
Si 0.9997 0.0000 0.2548
Si 0.0003 0.0000 0.7452
Os 0.5000 0.5000 0.5000

12.
Below is crystalline ZnSi2Os at its relaxed geometry, with properties calculated at the GGA-PBEsol level.

Properties
Mass density in Mg/m³: 9.5
Crystal system: monoclinic

Unit cell a=2.9417 b=4.3130 c=4.5901 alpha=97.17 beta=90.00 gamma=109.94
Atoms (fractional coordinates):
Os 0.5000 0.0000 0.0000
Si 0.2371 0.4743 0.2286
Si 0.7629 0.5257 0.7714
Zn 0.0000 0.0000 0.5000

no.,formation energy from raw total energies (eV/f.u.)
1,-0.77
2,-0.71
3,-0.92
4,0.35
5,-12.22
6,-2.19
7,-1.56
8,1.50
9,0.40
10,-0.03
11,0.25
12,-0.21